Pr2TmAs3: optimized geometry, PBE-GGA.

The space group is I4/mmm (No. 139) and the conventional cell measures 4.2374, 4.2374 and 17.9345 Å, with angles of 90.00, 90.00 and 90.00 degrees. The asymmetric unit holds Pr at (0.0000, 0.0000, 0.1659), Tm at (0.0000, 0.0000, 0.5000), As at (0.0000, 0.0000, 0.0000) and As at (0.0000, 0.0000, 0.3376).

The uncorrected energy comes out at -6.14 eV per atom. The value obtained for the formation energy from the elements is -1.47 eV/atom.